1.
Computed, not measured: crystalline K2RuF at its relaxed geometry at the GGA-PBE level of DFT.

Volume   261.9 Å³ per cell
Crystal system   tetragonal
ΔE to the lowest computed polymorph   0 meV per atom

a b c (Å): 7.754 7.754 7.003
angles (deg): 56.38 56.38 90.00
Each line ends with the local moment (μB).
Element x y z (fractional)
1 Ru 0.000 0.000 0.000  2.49
2 Ru 0.750 0.250 0.500  2.48
3 K 0.524 0.125 0.250  0.00
4 K 0.226 0.625 0.250  0.00
5 K 0.375 0.476 0.750  0.00
6 K 0.875 0.774 0.750  0.00
7 F 0.500 0.500 0.000  0.01
8 F 0.250 0.750 0.500  0.01


2.
Computed, not measured: crystalline KRu2F11 at its relaxed geometry at the GGA-PBE level of DFT.

Volume   501.3 Å³ per cell
Crystal system   orthorhombic

a b c (Å): 9.556 8.713 8.713
angles (deg): 65.92 56.74 56.74
Each line ends with the local moment (μB).
Element x y z (fractional)
1 K 0.750 0.750 0.750  0.00
2 K 0.250 0.250 0.250  0.00
3 Ru 0.654 0.649 0.351  2.05
4 Ru 0.346 0.351 0.649  2.05
5 Ru 0.846 0.149 0.851  2.05
6 Ru 0.154 0.851 0.149  2.05
7 F 0.628 0.667 0.575  0.15
8 F 0.372 0.333 0.425  0.15
9 F 0.130 0.575 0.667  0.15
10 F 0.872 0.925 0.833  0.15
11 F 0.870 0.425 0.333  0.15
12 F 0.128 0.075 0.167  0.15
13 F 0.370 0.833 0.925  0.15
14 F 0.630 0.167 0.075  0.15
15 F 0.500 0.500 0.500  0.08
16 F 0.000 0.000 0.000  0.08
17 F 0.793 0.783 0.217  0.15
18 F 0.207 0.217 0.783  0.15
19 F 0.707 0.283 0.717  0.15
20 F 0.293 0.717 0.283  0.15
21 F 0.434 0.870 0.372  0.15
22 F 0.566 0.130 0.628  0.15
23 F 0.324 0.372 0.870  0.15
24 F 0.066 0.128 0.630  0.15
25 F 0.676 0.628 0.130  0.15
26 F 0.934 0.872 0.370  0.15
27 F 0.176 0.630 0.128  0.15
28 F 0.824 0.370 0.872  0.15


no.,formation energy from raw total energies (eV per atom)
1,-0.1221
2,-1.9248